1.
# GeOsW | Alexandria | GGA-PBE | optimized geometry
data_GeOsW
_chemical_formula_sum 'Ge2 Os2 W2'
_cell_length_a 2.9319
_cell_length_b 2.9319
_cell_length_c 12.2665
_cell_angle_alpha 90.00
_cell_angle_beta 90.00
_cell_angle_gamma 120.00
_symmetry_space_group_name_H-M 'P -6 m 2'
_symmetry_Int_Tables_number 187
_symmetry_space_group_name_Hall 'P -6 2'
loop_
_atom_site_label
_atom_site_type_symbol
_atom_site_fract_x
_atom_site_fract_y
_atom_site_fract_z
_atom_site_occupancy
Ge1 Ge 0.0000 0.0000 0.1670 1
Os1 Os 0.3333 0.6667 0.3245 1
W1 W 0.0000 0.0000 0.5000 1
W2 W 0.3333 0.6667 0.0000 1
# Crystal system: hexagonal
# DFT formation energy: 0.5 eV per formula unit

---

2.
# Rb3CaDy2S6 | Alexandria | GGA-PBE | optimized geometry
data_Rb3CaDy2S6
_chemical_formula_sum 'Rb6 Ca2 Dy4 S12'
_cell_length_a 7.1277
_cell_length_b 12.3464
_cell_length_c 8.0451
_cell_angle_alpha 90.00
_cell_angle_beta 107.18
_cell_angle_gamma 90.00
_symmetry_space_group_name_H-M 'C 1 2/m 1'
_symmetry_Int_Tables_number 12
_symmetry_space_group_name_Hall '-C 2y'
loop_
_atom_site_label
_atom_site_type_symbol
_atom_site_fract_x
_atom_site_fract_y
_atom_site_fract_z
_atom_site_occupancy
Rb1 Rb 0.0000 0.0000 0.0000 1
Rb2 Rb 0.0000 0.3362 0.0000 1
Ca1 Ca 0.0000 0.5000 0.5000 1
Dy1 Dy 0.0000 0.1669 0.5000 1
S1 S 0.2198 0.0000 0.6926 1
S2 S 0.2369 0.3277 0.6937 1
# Crystal system: monoclinic
# E_form (uncorrected): -38.4 kcal/mol of atoms

---

3.
# Pa2VCrN6 | Alexandria | GGA-PBE | optimized geometry
data_Pa2VCrN6
_chemical_formula_sum 'Pa2 V1 Cr1 N6'
_cell_length_a 5.2717
_cell_length_b 5.2717
_cell_length_c 4.5191
_cell_angle_alpha 90.00
_cell_angle_beta 90.00
_cell_angle_gamma 90.00
_symmetry_space_group_name_H-M 'P 4 m m'
_symmetry_Int_Tables_number 99
_symmetry_space_group_name_Hall 'P 4 -2'
loop_
_atom_site_label
_atom_site_type_symbol
_atom_site_fract_x
_atom_site_fract_y
_atom_site_fract_z
_atom_site_occupancy
Pa1 Pa 0.0000 0.5000 0.0000 1
V1 V 0.0000 0.0000 0.5858 1
Cr1 Cr 0.5000 0.5000 0.5902 1
N1 N 0.0000 0.0000 0.1997 1
N2 N 0.2492 0.2492 0.7232 1
N3 N 0.5000 0.5000 0.2000 1
# Crystal system: tetragonal
# E_form (uncorrected): -23.5 kcal/mol of atoms

---

4.
# In2BrO | Alexandria | GGA-PBE | optimized geometry
data_In2BrO
_chemical_formula_sum 'In8 Br4 O4'
_cell_length_a 7.1069
_cell_length_b 7.1069
_cell_length_c 7.1069
_cell_angle_alpha 90.00
_cell_angle_beta 90.00
_cell_angle_gamma 90.00
_symmetry_space_group_name_H-M 'F m -3 m'
_symmetry_Int_Tables_number 225
_symmetry_space_group_name_Hall '-F 4 2 3'
loop_
_atom_site_label
_atom_site_type_symbol
_atom_site_fract_x
_atom_site_fract_y
_atom_site_fract_z
_atom_site_occupancy
In1 In 0.2500 0.2500 0.2500 1
Br1 Br 0.0000 0.0000 0.0000 1
O1 O 0.0000 0.0000 0.5000 1
# Energy relative to the lowest polymorph listed for this composition: 0.535 eV per atom
# Crystal system: cubic
# E_form (uncorrected): -2.0 kcal/mol of atoms

---

5.
# CrFe2Os2 | Alexandria | GGA-PBE | optimized geometry
data_CrFe2Os2
_chemical_formula_sum 'Cr2 Fe4 Os4'
_cell_length_a 6.9437
_cell_length_b 6.9437
_cell_length_c 2.6585
_cell_angle_alpha 90.00
_cell_angle_beta 90.00
_cell_angle_gamma 90.00
_symmetry_space_group_name_H-M 'P 4/m b m'
_symmetry_Int_Tables_number 127
_symmetry_space_group_name_Hall '-P 4 2ab'
loop_
_atom_site_label
_atom_site_type_symbol
_atom_site_fract_x
_atom_site_fract_y
_atom_site_fract_z
_atom_site_occupancy
Cr1 Cr 0.0000 0.0000 0.0000 1
Fe1 Fe 0.1202 0.3798 0.0000 1
Os1 Os 0.1761 0.6761 0.5000 1
# Energy relative to the lowest polymorph listed for this composition: 0.000 eV per atom
# Crystal system: tetragonal
# DFT formation energy: 1.5 eV per formula unit

---

6.
# CdRuCl6 | Alexandria | GGA-PBE | optimized geometry
data_CdRuCl6
_chemical_formula_sum 'Cd2 Ru2 Cl12'
_cell_length_a 8.0220
_cell_length_b 10.7204
_cell_length_c 6.6089
_cell_angle_alpha 90.00
_cell_angle_beta 110.31
_cell_angle_gamma 90.00
_symmetry_space_group_name_H-M 'C 1 2/m 1'
_symmetry_Int_Tables_number 12
_symmetry_space_group_name_Hall '-C 2y'
loop_
_atom_site_label
_atom_site_type_symbol
_atom_site_fract_x
_atom_site_fract_y
_atom_site_fract_z
_atom_site_occupancy
Cd1 Cd 0.0000 0.0000 0.0000 1
Ru1 Ru 0.0000 0.0000 0.5000 1
Cl1 Cl 0.1253 0.1524 0.7663 1
Cl2 Cl 0.2493 0.5000 0.6069 1
# Energy relative to the lowest polymorph listed for this composition: 0.000 eV per atom
# Crystal system: monoclinic
# E_form (uncorrected): -15.5 kcal/mol of atoms

---

7.
# Ho3Tm4ScS8 | Alexandria | GGA-PBE | optimized geometry
data_Ho3Tm4ScS8
_chemical_formula_sum 'Ho9 Tm12 Sc3 S24'
_cell_length_a 7.6833
_cell_length_b 7.6833
_cell_length_c 18.8310
_cell_angle_alpha 90.00
_cell_angle_beta 90.00
_cell_angle_gamma 120.00
_symmetry_space_group_name_H-M 'R -3 m'
_symmetry_Int_Tables_number 166
_symmetry_space_group_name_Hall '-R 3 2"'
loop_
_atom_site_label
_atom_site_type_symbol
_atom_site_fract_x
_atom_site_fract_y
_atom_site_fract_z
_atom_site_occupancy
Ho1 Ho 0.0000 0.5000 0.0000 1
Tm1 Tm 0.0000 0.0000 0.5000 1
Tm2 Tm 0.0000 0.5000 0.5000 1
Sc1 Sc 0.0000 0.0000 0.0000 1
S1 S 0.0000 0.0000 0.2486 1
S2 S 0.0060 0.5030 0.7499 1
# Crystal system: trigonal
# E_form (uncorrected): -44.5 kcal/mol of atoms

---

8.
# PdIN2F | Alexandria | GGA-PBE | optimized geometry
data_PdIN2F
_chemical_formula_sum 'Pd1 I1 N2 F1'
_cell_length_a 4.1043
_cell_length_b 4.1043
_cell_length_c 4.3935
_cell_angle_alpha 90.00
_cell_angle_beta 90.00
_cell_angle_gamma 90.00
_symmetry_space_group_name_H-M 'P 4/m m m'
_symmetry_Int_Tables_number 123
_symmetry_space_group_name_Hall '-P 4 2'
loop_
_atom_site_label
_atom_site_type_symbol
_atom_site_fract_x
_atom_site_fract_y
_atom_site_fract_z
_atom_site_occupancy
Pd1 Pd 0.0000 0.0000 0.0000 1
I1 I 0.5000 0.5000 0.5000 1
N1 N 0.0000 0.5000 0.5000 1
F1 F 0.5000 0.5000 0.0000 1
# Energy relative to the lowest polymorph listed for this composition: 0.414 eV per atom
# Crystal system: tetragonal
# E_form (uncorrected): 35.4 kcal/mol of atoms

---

9.
# NbSb2F | Alexandria | GGA-PBE | optimized geometry
data_NbSb2F
_chemical_formula_sum 'Nb4 Sb8 F4'
_cell_length_a 6.8240
_cell_length_b 6.8240
_cell_length_c 6.8240
_cell_angle_alpha 90.00
_cell_angle_beta 90.00
_cell_angle_gamma 90.00
_symmetry_space_group_name_H-M 'F m -3 m'
_symmetry_Int_Tables_number 225
_symmetry_space_group_name_Hall '-F 4 2 3'
loop_
_atom_site_label
_atom_site_type_symbol
_atom_site_fract_x
_atom_site_fract_y
_atom_site_fract_z
_atom_site_occupancy
Nb1 Nb 0.0000 0.0000 0.0000 1
Sb1 Sb 0.2500 0.2500 0.2500 1
F1 F 0.0000 0.0000 0.5000 1
# Energy relative to the lowest polymorph listed for this composition: 0.000 eV per atom
# Crystal system: cubic
# E_form (uncorrected): -6.4 kcal/mol of atoms